# 1
Density functional theory data (PBE) for TlH2PtCl8 after structural relaxation.

Summary:
ρ = 3159 kg/m3
size of the total moment = 0.048 μB/atom
DFT total energy = -36.2 eV/f.u.

Cell: 6.687 6.846 7.898 Å, 88.96 89.80 85.09°
Space group P-1 (No. 2)
One atom of each set of equivalent atoms:
Tl 0.000 0.000 0.000 x1
H 0.259 0.287 0.228 x2
Pt 0.000 0.000 0.500 x1
Cl 0.184 0.814 0.297 x2
Cl 0.212 0.846 0.707 x2
Cl 0.220 0.250 0.473 x2
Cl 0.286 0.313 0.059 x2

# 2
Density functional theory data (PBE) for Tb6Pm3PrHo2 after structural relaxation.

Summary:
ρ = 7874 kg/m3
size of the total moment = 0.000 μB/atom
DFT formation energy = 0.18 eV/f.u.
DFT total energy = -55.8 eV/f.u.

Cell: 6.219 10.765 11.893 Å, 90.00 100.00 90.00°
Space group C2/m (No. 12)
One atom of each set of equivalent atoms:
Tb 0.249 0.000 0.248 x4
Tb 0.249 0.167 0.751 x8
Pm 0.000 0.000 0.500 x2
Pm 0.000 0.333 0.500 x4
Pr 0.000 0.500 0.000 x2
Ho 0.000 0.167 0.000 x4

# 3
Density functional theory data (PBE) for AcPm2Hg8 after structural relaxation.

Summary:
ρ = 11916 kg/m3
size of the total moment = 0.000 μB/atom
DFT formation energy = -3.95 eV/f.u.
offset from the most stable computed form = 0.0000 eV/atom
DFT total energy = -20.0 eV/f.u.

Cell: 16.535 5.102 7.460 Å, 90.00 110.01 90.00°
Space group C2/m (No. 12)
One atom of each set of equivalent atoms:
Ac 0.000 0.000 0.000 x2
Pm 0.209 0.500 0.650 x4
Hg 0.025 0.500 0.720 x4
Hg 0.095 0.000 0.472 x4
Hg 0.154 0.500 0.186 x4
Hg 0.179 0.000 0.908 x4

# 4
Density functional theory data (PBE) for MgMn2As after structural relaxation.

Summary:
ρ = 5447 kg/m3
size of the total moment = 1.654 μB/atom
DFT formation energy = 0.81 eV/f.u.
DFT total energy = -23.8 eV/f.u.

Cell: 5.625 9.024 2.836 Å, 90.00 117.66 90.00°
Space group C2/m (No. 12)
One atom of each set of equivalent atoms:
Mg 0.000 0.000 0.000 x2
Mn 0.250 0.250 0.500 x4
As 0.000 0.500 0.000 x2

# 5
Density functional theory data (PBE) for HfNiAs after structural relaxation.

Summary:
ρ = 11328 kg/m3
size of the total moment = 0.000 μB/atom
DFT formation energy = -2.40 eV/f.u.
DFT total energy = -22.8 eV/f.u.

Cell: 6.452 3.869 7.332 Å, 90.00 90.00 90.00°
Space group Pnma (No. 62)
One atom of each set of equivalent atoms:
Hf 0.015 0.250 0.186 x4
Ni 0.164 0.250 0.573 x4
As 0.219 0.750 0.391 x4

# 6
Density functional theory data (PBE) for Hf2Nb2Ni after structural relaxation.

Summary:
ρ = 10376 kg/m3
size of the total moment = 0.000 μB/atom
DFT formation energy = 1.00 eV/f.u.
DFT total energy = -44.8 eV/f.u.

Cell: 6.663 6.663 4.337 Å, 90.00 90.00 90.00°
Space group P4/mbm (No. 127)
One atom of each set of equivalent atoms:
Hf 0.166 0.334 0.000 x4
Nb 0.143 0.643 0.500 x4
Ni 0.000 0.000 0.500 x2

# 7
Density functional theory data (PBE) for Pm4Er2Tm after structural relaxation.

Summary:
ρ = 7810 kg/m3
size of the total moment = 0.000 μB/atom
DFT formation energy = 0.39 eV/f.u.
offset from the most stable computed form = 0.0000 eV/atom
DFT total energy = -32.2 eV/f.u.

Cell: 11.899 24.106 6.425 Å, 90.00 90.00 90.00°
Space group Fdd2 (No. 43)
One atom of each set of equivalent atoms:
Pm 0.053 0.430 0.000 x16
Pm 0.071 0.356 0.468 x16
Er 0.025 0.284 0.942 x16
Tm 0.000 0.000 0.005 x8